This record from Alexandria describes a relaxed structure of BaTl2Hg9. The functional is PBE.

abc: 7.713 9.335 17.003
angles: 39.83 27.17 50.65
Element x y z (fractional)
Ba: 0.000 0.000 0.000
Tl: 0.363 0.012 0.645
Tl: 0.637 0.988 0.355
Hg: 0.561 0.251 0.916
Hg: 0.439 0.749 0.084
Hg: 0.500 0.500 0.500
Hg: 0.763 0.730 0.746
Hg: 0.925 0.272 0.568
Hg: 0.142 0.510 0.840
Hg: 0.237 0.270 0.254
Hg: 0.858 0.490 0.160
Hg: 0.075 0.728 0.432

Summary:
ΔE to the lowest computed polymorph (eV/f.u.): 0.000
M_tot (μB/f.u.): 0.0
DFT formation energy (meV/atom): -150
Total DFT energy (no corrections) (eV/atom): -0.93
Calculated volume (Å³/f.u.): 352.9